Material: SrLiSmCd
Method: DFT, PBE
State: optimized geometry

Summary:
The calculation puts the total magnetization at 0.0 μB per cell. The calculation puts the formation enthalpy at 0 K at -0.090 eV per atom. The space group is F-43m.

Cell and atoms, written as POSCAR:
```
SrLiSmCd
1.0
5.554 0.000 0.000
2.777 4.810 0.000
2.777 1.603 4.535
Sr Li Sm Cd
1 1 1 1
Cartesian
5.554 3.206 2.267
8.331 4.810 3.401
0.000 0.000 0.000
2.777 1.603 1.134
```